The following is a PBE calculation of a relaxed V9Ge4Ru11 crystal, from Alexandria via LeMat-Bulk.

Summary:
As for the crystal system: orthorhombic. The final energy comes out at -8.674 eV/atom. The calculation puts the size of the total moment at 1.6 μB per formula unit.

Geometry as CIF:
```
data_V9Ge4Ru11
_chemical_formula_sum 'V9 Ge4 Ru11'
_space_group_name_H-M_alt 'P 1'
_space_group_IT_number 1
_space_group_name_Hall 'P 1'
_cell_length_a 11.236
_cell_length_b 11.236
_cell_length_c 2.928
_cell_angle_alpha 90.00
_cell_angle_beta 90.00
_cell_angle_gamma 115.23
loop_
_atom_site_label
_atom_site_type_symbol
_atom_site_fract_x
_atom_site_fract_y
_atom_site_fract_z
V1 V 0.000 0.000 0.000
V2 V 0.141 0.646 0.000
V3 V 0.292 0.456 0.000
V4 V 0.354 0.859 0.000
V5 V 0.456 0.292 0.000
V6 V 0.544 0.708 0.000
V7 V 0.646 0.141 0.000
V8 V 0.708 0.544 0.000
V9 V 0.859 0.354 0.000
Ge1 Ge 0.052 0.240 0.000
Ge2 Ge 0.240 0.052 0.000
Ge3 Ge 0.760 0.948 0.000
Ge4 Ge 0.948 0.760 0.000
Ru1 Ru 0.087 0.434 0.500
Ru2 Ru 0.150 0.850 0.500
Ru3 Ru 0.239 0.239 0.500
Ru4 Ru 0.342 0.658 0.500
Ru5 Ru 0.434 0.087 0.500
Ru6 Ru 0.500 0.500 0.500
Ru7 Ru 0.566 0.913 0.500
Ru8 Ru 0.658 0.342 0.500
Ru9 Ru 0.761 0.761 0.500
Ru10 Ru 0.850 0.150 0.500
Ru11 Ru 0.913 0.566 0.500
```

***

The following is a PBE calculation of a relaxed Ba3TaN3 crystal, from Alexandria via LeMat-Bulk.

Summary:
As for the crystal system: hexagonal. For the energy relative to the elements, uncorrected, the calculation gives -0.762 eV/atom. The final energy comes out at -6.848 eV/atom. The calculation puts the size of the total moment at 0.0 μB per formula unit.

Geometry as CIF:
```
data_Ba3TaN3
_chemical_formula_sum 'Ba6 Ta2 N6'
_space_group_name_H-M_alt 'P 1'
_space_group_IT_number 1
_space_group_name_Hall 'P 1'
_cell_length_a 8.357
_cell_length_b 8.357
_cell_length_c 5.871
_cell_angle_alpha 90.00
_cell_angle_beta 90.00
_cell_angle_gamma 120.00
loop_
_atom_site_label
_atom_site_type_symbol
_atom_site_fract_x
_atom_site_fract_y
_atom_site_fract_z
Ba1 Ba 0.112 0.362 0.250
Ba2 Ba 0.250 0.888 0.250
Ba3 Ba 0.362 0.250 0.750
Ba4 Ba 0.638 0.750 0.250
Ba5 Ba 0.750 0.112 0.750
Ba6 Ba 0.888 0.638 0.750
Ta1 Ta 0.333 0.667 0.750
Ta2 Ta 0.667 0.333 0.250
N1 N 0.139 0.408 0.750
N2 N 0.268 0.861 0.750
N3 N 0.408 0.268 0.250
N4 N 0.592 0.732 0.750
N5 N 0.732 0.139 0.250
N6 N 0.861 0.592 0.250
```

***

The following is a PBE calculation of a relaxed KBe2P crystal, from Alexandria via LeMat-Bulk.

Summary:
As for the crystal system: monoclinic. The final energy comes out at -3.482 eV/atom. The calculation puts the size of the total moment at 0.0 μB per formula unit.

Geometry as CIF:
```
data_KBe2P
_chemical_formula_sum 'K1 Be2 P1'
_space_group_name_H-M_alt 'P 1'
_space_group_IT_number 1
_space_group_name_Hall 'P 1'
_cell_length_a 3.505
_cell_length_b 3.522
_cell_length_c 6.650
_cell_angle_alpha 90.00
_cell_angle_beta 102.52
_cell_angle_gamma 90.00
loop_
_atom_site_label
_atom_site_type_symbol
_atom_site_fract_x
_atom_site_fract_y
_atom_site_fract_z
K1 K 0.000 0.000 0.000
Be1 Be 0.208 0.500 0.503
Be2 Be 0.694 0.000 0.495
P1 P 0.632 0.500 0.318
```

***

The following is a PBE calculation of a relaxed Sm4Ho2TmMg crystal, from Alexandria via LeMat-Bulk.

Summary:
As for the crystal system: monoclinic. The final energy comes out at -4.250 eV/atom. The calculation puts the size of the total moment at 0.0 μB per formula unit.

Geometry as CIF:
```
data_Sm4Ho2TmMg
_chemical_formula_sum 'Sm4 Ho2 Tm1 Mg1'
_space_group_name_H-M_alt 'P 1'
_space_group_IT_number 1
_space_group_name_Hall 'P 1'
_cell_length_a 5.030
_cell_length_b 5.024
_cell_length_c 9.894
_cell_angle_alpha 90.00
_cell_angle_beta 90.04
_cell_angle_gamma 90.00
loop_
_atom_site_label
_atom_site_type_symbol
_atom_site_fract_x
_atom_site_fract_y
_atom_site_fract_z
Sm1 Sm 0.000 0.000 0.247
Sm2 Sm 0.000 0.000 0.753
Sm3 Sm 0.499 0.500 0.753
Sm4 Sm 0.501 0.500 0.247
Ho1 Ho 0.000 0.500 0.500
Ho2 Ho 0.500 0.000 0.000
Tm1 Tm 0.500 0.000 0.500
Mg1 Mg 0.000 0.500 0.000
```

***

The following is a PBE calculation of a relaxed K2In4HgAu3 crystal, from Alexandria via LeMat-Bulk.

Summary:
As for the crystal system: tetragonal. The final energy comes out at -2.593 eV/atom. The calculation puts the size of the total moment at 0.0 μB per formula unit.

Geometry as CIF:
```
data_K2In4HgAu3
_chemical_formula_sum 'K2 In4 Hg1 Au3'
_space_group_name_H-M_alt 'P 1'
_space_group_IT_number 1
_space_group_name_Hall 'P 1'
_cell_length_a 5.021
_cell_length_b 5.021
_cell_length_c 11.094
_cell_angle_alpha 90.00
_cell_angle_beta 90.00
_cell_angle_gamma 90.00
loop_
_atom_site_label
_atom_site_type_symbol
_atom_site_fract_x
_atom_site_fract_y
_atom_site_fract_z
K1 K 0.000 0.500 0.244
K2 K 0.500 0.000 0.756
In1 In 0.000 0.000 0.500
In2 In 0.000 0.500 0.870
In3 In 0.500 0.000 0.130
In4 In 0.500 0.500 0.500
Hg1 Hg 0.500 0.500 0.000
Au1 Au 0.000 0.000 0.000
Au2 Au 0.000 0.500 0.621
Au3 Au 0.500 0.000 0.379
```

***

The following is a PBE calculation of a relaxed Ir3Se crystal, from Alexandria via LeMat-Bulk.

Summary:
Its energy relative to the lowest polymorph listed for this composition is 0 meV/atom. As for the crystal system: orthorhombic. For the energy relative to the elements, uncorrected, the calculation gives 0.289 eV/atom. The final energy comes out at -7.228 eV/atom. The calculation puts the size of the total moment at 0.0 μB per formula unit.

Geometry as CIF:
```
data_Ir3Se
_chemical_formula_sum 'Ir12 Se4'
_space_group_name_H-M_alt 'P 1'
_space_group_IT_number 1
_space_group_name_Hall 'P 1'
_cell_length_a 5.185
_cell_length_b 9.114
_cell_length_c 5.327
_cell_angle_alpha 90.00
_cell_angle_beta 90.00
_cell_angle_gamma 90.00
loop_
_atom_site_label
_atom_site_type_symbol
_atom_site_fract_x
_atom_site_fract_y
_atom_site_fract_z
Ir1 Ir 0.149 0.250 0.031
Ir2 Ir 0.215 0.531 0.865
Ir3 Ir 0.215 0.969 0.865
Ir4 Ir 0.285 0.031 0.365
Ir5 Ir 0.285 0.469 0.365
Ir6 Ir 0.351 0.750 0.531
Ir7 Ir 0.649 0.250 0.469
Ir8 Ir 0.715 0.531 0.635
Ir9 Ir 0.715 0.969 0.635
Ir10 Ir 0.785 0.031 0.135
Ir11 Ir 0.785 0.469 0.135
Ir12 Ir 0.851 0.750 0.969
Se1 Se 0.101 0.250 0.567
Se2 Se 0.399 0.750 0.067
Se3 Se 0.601 0.250 0.933
Se4 Se 0.899 0.750 0.433
```